Entry 1:
A geometry-optimized Tl2TcPb structure. Source: Alexandria, functional PBE.

Cell lengths 5.2527, 5.2527, 5.2527 Å; angles 60.00, 60.00, 60.00 degrees
Fractional coordinates of all 4 atoms:
Tc 0.0000 0.0000 0.0000
Tl 0.2500 0.2500 0.2500
Tl 0.7500 0.7500 0.7500
Pb 0.5000 0.5000 0.5000

Results
The energy above the most stable polymorph in this dataset is 416 meV per atom. As for the space group: Fm-3m, No. 225. The raw total energy comes out at -3.85 eV per atom.

Entry 2:
A geometry-optimized RuAuN2O structure. Source: Alexandria, functional PBE.

Cell lengths 3.7802, 3.7802, 4.3062 Å; angles 90.00, 90.00, 90.00 degrees
Fractional coordinates of all 5 atoms:
O 0.0000 0.0000 0.5000
N 0.5000 0.0000 0.0000
Ru 0.0000 0.0000 0.0000
Au 0.5000 0.5000 0.5000
N 0.0000 0.5000 0.0000

Results
As for the space group: P4/mmm, No. 123. The raw total energy comes out at -5.84 eV per atom.

Entry 3:
A geometry-optimized Fe2Ir3Rh2 structure. Source: Alexandria, functional PBE.

Cell lengths 2.7134, 4.5737, 8.8687 Å; angles 110.51, 90.00, 107.26 degrees
Fractional coordinates of all 7 atoms:
Ir 0.6677 0.3353 0.0793
Rh 0.2178 0.4357 0.3560
Ir 0.3323 0.6647 0.9207
Ir 0.0000 0.0000 0.5000
Fe 0.4443 0.8887 0.2254
Rh 0.7822 0.5643 0.6440
Fe 0.5557 0.1113 0.7746

Results
As for the space group: C2/m, No. 12. The raw total energy comes out at -8.26 eV per atom.

Entry 4:
A geometry-optimized LuScNiRh structure. Source: Alexandria, functional PBE.

Cell lengths 4.6296, 4.6296, 4.6296 Å; angles 60.00, 60.00, 60.00 degrees
Fractional coordinates of all 4 atoms:
Sc 0.0000 0.0000 0.0000
Ni 0.2500 0.2500 0.2500
Lu 0.5000 0.5000 0.5000
Rh 0.7500 0.7500 0.7500

Results
As for the space group: F-43m, No. 216. The raw total energy comes out at -6.73 eV per atom.

Entry 5:
A geometry-optimized LaGd2Hg structure. Source: Alexandria, functional PBE.

Cell lengths 4.9208, 4.9198, 4.9198 Å; angles 90.00, 90.00, 90.00 degrees
Fractional coordinates of all 4 atoms:
La 0.5000 0.5000 0.5000
Gd 0.0000 0.0000 0.5000
Gd 0.0000 0.5000 0.0000
Hg 0.5000 0.0000 0.0000

Results
The energy above the most stable polymorph in this dataset is 61 meV per atom. As for the space group: P4/mmm, No. 123. The raw total energy comes out at -8.53 eV per atom.

Entry 6:
A geometry-optimized BaSc2Ag2 structure. Source: Alexandria, functional PBE.

Cell lengths 8.6417, 8.6417, 3.3340 Å; angles 90.00, 90.00, 90.00 degrees
Fractional coordinates of all 10 atoms:
Ag 0.8405 0.3405 0.5000
Sc 0.6293 0.1293 0.0000
Sc 0.8707 0.6293 0.0000
Ag 0.3405 0.1595 0.5000
Ba 0.0000 0.0000 0.0000
Ag 0.1595 0.6595 0.5000
Sc 0.3707 0.8707 0.0000
Ba 0.5000 0.5000 0.0000
Sc 0.1293 0.3707 0.0000
Ag 0.6595 0.8405 0.5000

Results
The energy above the most stable polymorph in this dataset is 14 meV per atom. As for the space group: P4/mbm, No. 127. The raw total energy comes out at -4.09 eV per atom.

Entry 7:
A geometry-optimized ZrScTaBi2 structure. Source: Alexandria, functional PBE.

Cell lengths 5.4077, 4.8056, 5.4077 Å; angles 90.00, 90.00, 90.00 degrees
Fractional coordinates of all 5 atoms:
Bi 0.0000 0.0000 0.5000
Sc 0.0000 0.0000 0.0000
Zr 0.0000 0.5000 0.0000
Bi 0.5000 0.0000 0.0000
Ta 0.5000 0.5000 0.5000

Results
As for the space group: P4/mmm, No. 123. The raw total energy comes out at -5.60 eV per atom.

Entry 8:
A geometry-optimized LaZrCd2Si structure. Source: Alexandria, functional PBE.

Cell lengths 5.8146, 5.2462, 5.8146 Å; angles 90.00, 90.00, 90.00 degrees
Fractional coordinates of all 5 atoms:
Cd 0.0000 0.0000 0.5000
Si 0.5000 0.5000 0.5000
La 0.0000 0.0000 0.0000
Cd 0.5000 0.0000 0.0000
Zr 0.0000 0.5000 0.0000

Results
The energy above the most stable polymorph in this dataset is 1275 meV per atom. As for the space group: P4/mmm, No. 123. The raw total energy comes out at -2.67 eV per atom.